Here is an optimized crystal structure of BeAsIr from Alexandria via LeMat-Bulk. Energies are from PBE.

Calculated values
- VASP energy (Ry/atom) = -0.425
- SG = No. 107
- magnetization (μB/cell) = 0.00

Unit cell a=4.3566 b=4.3566 c=4.3566 alpha=135.45 beta=135.44 gamma=64.84
Element x y z (fractional)
Be: 0.3261 0.3261 0.0000
Ir: 0.6666 0.6666 0.0000
As: 0.0073 0.0073 0.0000



Here is an optimized crystal structure of Be2AsIr from Alexandria via LeMat-Bulk. Energies are from PBE.

Calculated values
- VASP energy (Ry/atom) = -0.384
- SG = No. 12
- magnetization (μB/cell) = 0.00

Unit cell a=4.0656 b=4.0656 c=4.6125 alpha=81.94 beta=81.94 gamma=43.00
Element x y z (fractional)
Ir: 0.7500 0.7500 0.7500
As: 0.2500 0.2500 0.2500
Be: 0.4831 0.4831 0.5533
Be: 0.0169 0.0169 0.9467



Here is an optimized crystal structure of BeAsIr from Alexandria via LeMat-Bulk. Energies are from PBE.

Calculated values
- VASP energy (Ry/atom) = -0.430
- SG = No. 216
- magnetization (μB/cell) = 0.00

Unit cell a=4.0255 b=4.0255 c=4.0255 alpha=60.00 beta=60.00 gamma=60.00
Element x y z (fractional)
Ir: 0.7500 0.7500 0.7500
As: 0.0000 0.0000 0.0000
Be: 0.5000 0.5000 0.5000



Here is an optimized crystal structure of BeAs2Ir4 from Alexandria via LeMat-Bulk. Energies are from PBE.

Calculated values
- VASP energy (Ry/atom) = -0.471
- SG = No. 139
- magnetization (μB/cell) = 0.00

Unit cell a=4.1757 b=4.1757 c=6.9570 alpha=72.54 beta=72.54 gamma=90.00
Element x y z (fractional)
Ir: 0.1883 0.1883 0.6235
As: 0.3713 0.3713 0.2574
Ir: 0.8117 0.8117 0.3765
Ir: 0.0000 0.5000 0.0000
Ir: 0.5000 0.0000 0.0000
Be: 0.0000 0.0000 0.0000
As: 0.6287 0.6287 0.7426



Here is an optimized crystal structure of Be2AsIr from Alexandria via LeMat-Bulk. Energies are from PBE.

Calculated values
- VASP energy (Ry/atom) = -0.385
- SG = No. 139
- magnetization (μB/cell) = 0.00

Unit cell a=4.4403 b=4.4403 c=4.4403 alpha=131.53 beta=131.49 gamma=71.01
Element x y z (fractional)
Be: 0.4999 0.4999 0.0000
Ir: 0.7500 0.2500 0.5000
Be: 0.0001 0.0001 0.0000
As: 0.2500 0.7500 0.5000



Here is an optimized crystal structure of Be2AsIr from Alexandria via LeMat-Bulk. Energies are from PBE.

Calculated values
- VASP energy (Ry/atom) = -0.360
- SG = No. 122
- magnetization (μB/cell) = 0.00

Unit cell a=6.2457 b=6.2457 c=5.1878 alpha=52.99 beta=52.99 gamma=90.00
Element x y z (fractional)
Be: 0.6246 0.1250 0.2500
As: 0.2500 0.7500 0.5000
Ir: 0.7500 0.2500 0.5000
As: 0.5000 0.5000 0.0000
Be: 0.1254 0.6250 0.2500
Be: 0.3750 0.3754 0.7500
Ir: 0.0000 0.0000 0.0000
Be: 0.8750 0.8746 0.7500



Here is an optimized crystal structure of Be2AsIr from Alexandria via LeMat-Bulk. Energies are from PBE.

Calculated values
- VASP energy (Ry/atom) = -0.396
- SG = No. 123
- magnetization (μB/cell) = 0.00

Unit cell a=2.9808 b=2.9808 c=5.3829 alpha=90.00 beta=90.00 gamma=90.00
Element x y z (fractional)
Be: 0.0000 0.0000 0.0254
Be: 0.0000 0.0000 0.4746
As: 0.5000 0.5000 0.7500
Ir: 0.5000 0.5000 0.2500



Here is an optimized crystal structure of BeAsIr from Alexandria via LeMat-Bulk. Energies are from PBE.

Calculated values
- VASP energy (Ry/atom) = -0.419
- SG = No. 216
- magnetization (μB/cell) = 0.00

Unit cell a=3.8962 b=3.8962 c=3.8962 alpha=60.00 beta=60.00 gamma=60.00
Element x y z (fractional)
Be: 0.7500 0.7500 0.7500
As: 0.5000 0.5000 0.5000
Ir: 0.0000 0.0000 0.0000



Here is an optimized crystal structure of Be2AsIr2 from Alexandria via LeMat-Bulk. Energies are from PBE.

Calculated values
- VASP energy (Ry/atom) = -0.452
- SG = No. 127
- magnetization (μB/cell) = 0.00

Unit cell a=6.7024 b=6.7024 c=2.8402 alpha=90.00 beta=90.00 gamma=90.00
Element x y z (fractional)
As: 0.5000 0.5000 0.0000
Be: 0.1280 0.6280 0.5000
Ir: 0.6624 0.1624 0.0000
Ir: 0.3376 0.8376 0.0000
Be: 0.3720 0.1280 0.5000
Be: 0.8720 0.3720 0.5000
Ir: 0.8376 0.6624 0.0000
Be: 0.6280 0.8720 0.5000
As: 0.0000 0.0000 0.0000
Ir: 0.1624 0.3376 0.0000



Here is an optimized crystal structure of Be2AsIr2 from Alexandria via LeMat-Bulk. Energies are from PBE.

Calculated values
- VASP energy (Ry/atom) = -0.452
- SG = No. 139
- magnetization (μB/cell) = 0.00

Unit cell a=3.0980 b=3.0980 c=6.9350 alpha=77.09 beta=77.09 gamma=90.00
Element x y z (fractional)
Ir: 0.6150 0.6150 0.7700
Be: 0.7500 0.2500 0.5000
Ir: 0.3850 0.3850 0.2300
Be: 0.2500 0.7500 0.5000
As: 0.0000 0.0000 0.0000



Here is an optimized crystal structure of BeAs4Ir from Alexandria via LeMat-Bulk. Energies are from PBE.

Calculated values
- VASP energy (Ry/atom) = -0.307
- SG = No. 216
- magnetization (μB/cell) = 0.00

Unit cell a=5.3514 b=5.3514 c=5.3514 alpha=60.00 beta=60.00 gamma=60.00
Element x y z (fractional)
As: 0.8711 0.3763 0.3763
As: 0.3763 0.8711 0.3763
Be: 0.7500 0.7500 0.7500
Ir: 0.0000 0.0000 0.0000
As: 0.3763 0.3763 0.8711
As: 0.3763 0.3763 0.3763



Here is an optimized crystal structure of Rb2BeAsIr from Alexandria via LeMat-Bulk. Energies are from PBE.

Calculated values
- VASP energy (Ry/atom) = -0.224
- SG = No. 123
- magnetization (μB/cell) = 1.93

Unit cell a=6.6392 b=3.9249 c=6.6392 alpha=90.00 beta=90.00 gamma=90.00
Site moments in Bohr magnetons follow the coordinates.
Element x y z (fractional)
Rb: 0.5000 0.0000 0.0000  0.00
Ir: 0.5000 0.5000 0.5000  1.77
Be: 0.0000 0.0000 0.0000  0.00
As: 0.0000 0.5000 0.0000  0.01
Rb: 0.0000 0.0000 0.5000  0.00